one) Material: Zr3SnSe
Method: DFT, PBE-GGA
State: relaxed

Values from the calculation:
D(E_F), states/eV/f.u.: 3.54
Density, kg/m³: 6286

Cell lengths 4.6457, 7.9244, 7.1264 Å; angles 83.44, 90.00, 107.05 degrees
Fractional coordinates of all 10 atoms:
Zr  0.0226  0.0452  0.2735
Zr  0.9774  0.9548  0.7265
Zr  0.7367  0.4734  0.8550
Zr  0.2633  0.5266  0.1450
Zr  0.8186  0.6373  0.4471
Zr  0.1814  0.3627  0.5529
Sn  0.3692  0.7384  0.6666
Sn  0.6308  0.2616  0.3334
Se  0.1256  0.2512  0.9248
Se  0.8744  0.7488  0.0752


two) Material: Zr3SnSe
Method: DFT, PBE-GGA
State: relaxed

Values from the calculation:
D(E_F), states/eV/f.u.: 2.98
Density, kg/m³: 6291

Cell lengths 4.9923, 4.9923, 4.9923 Å; angles 90.00, 90.00, 90.00 degrees
Fractional coordinates of all 5 atoms:
Se  0.0000  0.0000  0.0000
Sn  0.5000  0.5000  0.5000
Zr  0.0000  0.5000  0.0000
Zr  0.0000  0.0000  0.5000
Zr  0.5000  0.0000  0.0000


Most stable structure - one); separation to the second - 28.1 kJ/mol of atoms.